# 1
An optimized crystal structure of BeHgIr2, computed with GGA-PBE.

Lattice parameters (Å, degrees): 8.3544 8.3544 8.3544 19.79 19.79 19.79
Closest atoms and distances in Å follow each position.
Element x y z (fractional)
1 Be 0.2500 0.2500 0.2500  6 Ir 2.36
2 Ir 0.9848 0.9848 0.9848  3 Be 2.36
3 Ir 0.5152 0.5152 0.5152  3 Be 2.36
4 Hg 0.7500 0.7500 0.7500  6 Hg 2.87, 6 Ir 2.93

Summary:
The calculated formation energy comes out at 0.142 eV per atom.

# 2
An optimized crystal structure of BeHgIr2, computed with GGA-PBE.

Lattice parameters (Å, degrees): 4.7176 4.7176 5.0661 83.75 83.75 35.27
Closest atoms and distances in Å follow each position.
Element x y z (fractional)
1 Be 0.4636 0.4636 0.6058  4 Ir 2.24-2.43
2 Ir 0.0179 0.0179 0.9210  2 Be 2.24
3 Ir 0.7490 0.7490 0.7329  3 Be 2.43-2.72, 3 Ir 2.61-2.70
4 Hg 0.2695 0.2695 0.2403  1 Be 2.69, 2 Hg 2.86, 7 Ir 2.86-2.97

Summary:
The calculated formation energy comes out at 0.256 eV per atom.

# 3
An optimized crystal structure of BeHgIr2, computed with GGA-PBE.

Lattice parameters (Å, degrees): 3.5965 2.7654 6.2298 77.14 90.00 90.00
Closest atoms and distances in Å follow each position.
Element x y z (fractional)
1 Be 0.0000 0.7301 0.4166  5 Ir 2.28-2.38
2 Ir 0.0000 0.9168 0.0416  1 Be 2.28
3 Ir 0.5000 0.2860 0.3020  4 Be 2.37-2.38
4 Hg 0.5000 0.5671 0.7398  2 Be 2.66, 2 Hg 2.77, 4 Ir 2.92

Summary:
The calculated formation energy comes out at 0.181 eV per atom.

# 4
An optimized crystal structure of Be4HgIr, computed with GGA-PBE.

Lattice parameters (Å, degrees): 4.5285 4.5285 4.5285 60.00 60.00 60.00
Closest atoms and distances in Å follow each position.
Element x y z (fractional)
1 Be 0.8788 0.3737 0.3737  6 Be 2.24-2.29
2 Be 0.3737 0.3737 0.8788  6 Be 2.24-2.29
3 Be 0.3737 0.8788 0.3737  6 Be 2.24-2.29
4 Be 0.3737 0.3737 0.3737  6 Be 2.24-2.29
5 Hg 0.7500 0.7500 0.7500  12 Be 2.66, 4 Ir 2.77
6 Ir 0.0000 0.0000 0.0000  12 Be 2.65, 4 Hg 2.77

Summary:
The calculated formation energy comes out at -0.045 eV per atom.